DFT (PBE) results for a relaxed Nb2HgRh crystal.

abc: 3.9254 3.9254 18.8648
angles: 90.00 90.00 120.00
Space group R3m (No. 160, hexagonal axes)
Unique sites:
Nb 0.0000 0.0000 0.0000 (multiplicity 3)
Nb 0.0000 0.0000 0.2067 (multiplicity 3)
Hg 0.0000 0.0000 0.4377 (multiplicity 3)
Rh 0.0000 0.0000 0.5993 (multiplicity 3)

Electronic total energy in eV per formula unit: -26.4
Theoretical density in g/cm³: 9.68



DFT (PBE) results for a relaxed Li3Pm2UTe6 crystal.

abc: 7.626 13.208 7.543
angles: 90.00 109.68 90.00
Space group C2/m (No. 12)
Unique sites:
Li 0.000 0.000 0.000 (multiplicity 2)
Li 0.000 0.332 0.000 (multiplicity 4)
Pm 0.000 0.166 0.500 (multiplicity 4)
U 0.000 0.500 0.500 (multiplicity 2)
Te 0.243 0.500 0.239 (multiplicity 4)
Te 0.248 0.165 0.238 (multiplicity 8)

Electronic total energy in eV per formula unit: -58.7
Theoretical density in g/cm³: 6.10



DFT (PBE) results for a relaxed Tl2CrFe crystal.

abc: 6.908 6.908 6.908
angles: 90.00 90.00 90.00
Space group F-43m (No. 216)
Unique sites:
Tl 0.000 0.000 0.000 (multiplicity 4)
Tl 0.250 0.250 0.250 (multiplicity 4)
Cr 0.250 0.250 0.750 (multiplicity 4)
Fe 0.000 0.000 0.500 (multiplicity 4)

Electronic total energy in eV per formula unit: -19.2
Theoretical density in g/cm³: 10.41



DFT (PBE) results for a relaxed GaOsPbO6 crystal.

abc: 6.865 7.203 11.191
angles: 90.00 90.00 90.00
Space group Imma (No. 74)
Unique sites:
Ga 0.250 0.250 0.250 (multiplicity 4)
Os 0.000 0.000 0.000 (multiplicity 4)
Pb 0.000 0.250 0.498 (multiplicity 4)
O 0.000 0.250 0.302 (multiplicity 4)
O 0.000 0.250 0.936 (multiplicity 4)
O 0.200 0.070 0.106 (multiplicity 16)

Electronic total energy in eV per formula unit: -57.6
Theoretical density in g/cm³: 6.76



DFT (PBE) results for a relaxed Li3NiSn crystal.

abc: 9.336 6.944 5.599
angles: 90.00 90.00 90.00
Space group Ima2 (No. 46)
Unique sites:
Li 0.004 0.250 0.000 (multiplicity 8)
Li 0.250 0.047 0.247 (multiplicity 4)
Ni 0.250 0.750 0.497 (multiplicity 4)
Sn 0.250 0.048 0.747 (multiplicity 4)

Electronic total energy in eV per formula unit: -16.1
Theoretical density in g/cm³: 3.63



DFT (PBE) results for a relaxed AcThGe2 crystal.

abc: 4.6550 4.6550 20.1244
angles: 90.00 90.00 120.00
Space group R3m (No. 160, hexagonal axes)
Unique sites:
Ac 0.0000 0.0000 0.0000 (multiplicity 3)
Th 0.0000 0.0000 0.8234 (multiplicity 3)
Ge 0.0000 0.0000 0.4266 (multiplicity 3)
Ge 0.0000 0.0000 0.5670 (multiplicity 3)

Electronic total energy in eV per formula unit: -22.9
Theoretical density in g/cm³: 7.97



DFT (PBE) results for a relaxed BaSmMgHg crystal.

abc: 8.056 8.056 8.056
angles: 90.00 90.00 90.00
Space group F-43m (No. 216)
Unique sites:
Ba 0.000 0.000 0.000 (multiplicity 4)
Sm 0.000 0.000 0.500 (multiplicity 4)
Mg 0.250 0.250 0.750 (multiplicity 4)
Hg 0.250 0.250 0.250 (multiplicity 4)

Electronic total energy in eV per formula unit: -9.2
Theoretical density in g/cm³: 6.51



DFT (PBE) results for a relaxed CaYLu2 crystal.

abc: 5.046 5.046 5.084
angles: 90.00 90.00 90.00
Space group P4/mmm (No. 123)
Unique sites:
Ca 0.000 0.000 0.000 (multiplicity 1)
Y 0.500 0.500 0.000 (multiplicity 1)
Lu 0.000 0.500 0.500 (multiplicity 2)

Electronic total energy in eV per formula unit: -16.9
Theoretical density in g/cm³: 6.14



DFT (PBE) results for a relaxed Rb4Ac3BeO8 crystal.

abc: 13.611 7.132 7.627
angles: 90.00 116.88 90.00
Space group C2/m (No. 12)
Unique sites:
Rb 0.000 0.000 0.000 (multiplicity 2)
Rb 0.000 0.500 0.000 (multiplicity 2)
Rb 0.250 0.250 0.000 (multiplicity 4)
Ac 0.000 0.000 0.500 (multiplicity 2)
Ac 0.250 0.250 0.500 (multiplicity 4)
Be 0.000 0.500 0.500 (multiplicity 2)
O 0.035 0.315 0.369 (multiplicity 8)
O 0.206 0.000 0.687 (multiplicity 4)
O 0.208 0.000 0.257 (multiplicity 4)

Electronic total energy in eV per formula unit: -92.8
Theoretical density in g/cm³: 5.83



DFT (PBE) results for a relaxed CsLiUCl5 crystal.

abc: 9.396 12.571 10.455
angles: 90.00 113.82 90.00
Space group C2/c (No. 15)
Unique sites:
Cs 0.000 0.157 0.250 (multiplicity 4)
Li 0.000 0.192 0.750 (multiplicity 4)
U 0.000 0.500 0.000 (multiplicity 4)
Cl 0.000 0.430 0.250 (multiplicity 4)
Cl 0.096 0.299 0.607 (multiplicity 8)
Cl 0.198 0.071 0.911 (multiplicity 8)

Electronic total energy in eV per formula unit: -37.7
Theoretical density in g/cm³: 3.26



DFT (PBE) results for a relaxed Hf2MnTl2Se6 crystal.

abc: 6.677 11.597 8.218
angles: 90.00 105.63 90.00
Space group C2/m (No. 12)
Unique sites:
Hf 0.000 0.168 0.000 (multiplicity 4)
Mn 0.000 0.500 0.000 (multiplicity 2)
Tl 0.000 0.334 0.500 (multiplicity 4)
Se 0.227 0.000 0.191 (multiplicity 4)
Se 0.234 0.331 0.194 (multiplicity 8)

Electronic total energy in eV per formula unit: -65.0
Theoretical density in g/cm³: 7.01



DFT (PBE) results for a relaxed Rb2SeS2 crystal.

abc: 4.898 19.611 6.900
angles: 90.00 90.00 90.00
Space group Cmc2_1 (No. 36)
Unique sites:
Rb 0.000 0.017 0.000 (multiplicity 4)
Rb 0.000 0.208 0.775 (multiplicity 4)
Se 0.000 0.382 0.866 (multiplicity 4)
S 0.000 0.151 0.314 (multiplicity 4)
S 0.000 0.409 0.184 (multiplicity 4)

Electronic total energy in eV per formula unit: -17.2
Theoretical density in g/cm³: 3.15